AcTb6PmTm2 | GGA-PBE | relaxed

Results
M_tot: 0.000 μB per cell
electronic total energy: -88.6 eV per cell

Lattice parameters (Å, degrees): 8.898 8.898 9.575 92.66 92.66 117.08
Atoms (fractional coordinates):
Ac1 0.033 0.967 0.750
Ac2 0.967 0.033 0.250
Tb1 0.014 0.552 0.678
Tb2 0.120 0.752 0.057
Tb3 0.248 0.880 0.443
Tb4 0.291 0.514 0.883
Tb5 0.448 0.986 0.822
Tb6 0.486 0.709 0.617
Tb7 0.514 0.291 0.383
Tb8 0.552 0.014 0.178
Tb9 0.709 0.486 0.117
Tb10 0.752 0.120 0.557
Tb11 0.880 0.248 0.943
Tb12 0.986 0.448 0.322
Pm1 0.411 0.589 0.250
Pm2 0.589 0.411 0.750
Tm1 0.201 0.312 0.549
Tm2 0.312 0.201 0.049
Tm3 0.688 0.799 0.951
Tm4 0.799 0.688 0.451